# MnOF

A relaxed MnOF crystal (GGA+U, Alexandria via LeMat-Bulk).

Cell lengths 3.7055, 9.2130, 5.5389 Å; angles 90.00, 90.00, 90.00 degrees
Sites, in units of the cell vectors:
F (0.2500, 0.7157, 0.9041)
F (0.2500, 0.7843, 0.4041)
F (0.7500, 0.2157, 0.5959)
F (0.7500, 0.2843, 0.0959)
Mn (0.2500, 0.9008, 0.1195)
Mn (0.2500, 0.5992, 0.6195)
Mn (0.7500, 0.4008, 0.3805)
Mn (0.7500, 0.0992, 0.8805)
O (0.2500, 0.0424, 0.8603)
O (0.7500, 0.9576, 0.1397)
O (0.7500, 0.5424, 0.6397)
O (0.2500, 0.4576, 0.3603)

Summary:
As for the space-group type: No. 62. For the volume, the calculation gives 47.3 Å³/f.u. Its calculated total energy is -0.49401 Ry per atom. The calculation puts the magnetization at 16.0 Bohr magnetons per cell.